No. 1
Entry from the Open Quantum Materials Database: an optimized crystal structure of NiAu2 (PBE).

Lattice parameters (Å, degrees): 7.5868 7.5868 7.5868 90.00 90.00 90.00
Space group Fd-3m (No. 227, origin choice 2)
Asymmetric unit:
Ni 0.1250 0.1250 0.1250
Au 0.0000 0.0000 0.5000

Calculated values
calculated formation energy	0.534	eV/atom

No. 2
Entry from the Open Quantum Materials Database: an optimized crystal structure of Nd3AlS6 (PBE).

Lattice parameters (Å, degrees): 11.0236 13.6824 6.6260 90.00 90.00 90.00
Space group Cmc2_1 (No. 36)
Asymmetric unit:
Nd 0.0000 0.1015 0.0000
Nd 0.1845 0.3990 0.0829
Al 0.0000 0.3020 0.6250
S 0.0000 0.2835 0.2855
S 0.0000 0.4574 0.7576
S 0.1613 0.2374 0.7885
S 0.1616 0.0249 0.2919

Calculated values
electronic total energy	-6.1199	eV per atom

No. 3
Entry from the Open Quantum Materials Database: an optimized crystal structure of NaAgPtW (PBE).

Lattice parameters (Å, degrees): 6.4515 6.4515 6.4515 90.00 90.00 90.00
Space group F-43m (No. 216)
Asymmetric unit:
Na 0.0000 0.0000 0.0000
Ag 0.2500 0.2500 0.7500
Pt 0.2500 0.2500 0.2500
W 0.0000 0.0000 0.5000

Calculated values
offset from the most stable computed form	0	meV per atom

No. 4
Entry from the Open Quantum Materials Database: an optimized crystal structure of Sm2ErBi3 (PBE).

Lattice parameters (Å, degrees): 4.4947 4.4947 10.9829 90.00 90.00 120.00
Space group P-3m1 (No. 164)
Asymmetric unit:
Sm 0.3333 0.6667 0.3313
Er 0.0000 0.0000 0.0000
Bi 0.0000 0.0000 0.5000
Bi 0.3333 0.6667 0.8397

Calculated values
electronic total energy	-5.2582	eV per atom

No. 5
Entry from the Open Quantum Materials Database: an optimized crystal structure of LaDy3Y2CoTe2 (PBE).

Lattice parameters (Å, degrees): 3.9761 14.6815 8.3765 90.00 90.00 90.00
Space group Amm2 (No. 38)
Asymmetric unit:
La 0.0000 0.0000 0.0000
Dy 0.5000 0.0000 0.6442
Dy 0.5000 0.1157 0.2926
Y 0.0000 0.1990 0.6083
Co 0.0000 0.0000 0.4200
Te 0.5000 0.1724 0.9067

Calculated values
electronic total energy	-5.7021	eV per atom

No. 6
Entry from the Open Quantum Materials Database: an optimized crystal structure of Mg2NbSn (PBE).

Lattice parameters (Å, degrees): 6.8650 6.8650 6.8650 90.00 90.00 90.00
Space group F-43m (No. 216)
Asymmetric unit:
Mg 0.0000 0.0000 0.0000
Mg 0.2500 0.2500 0.2500
Nb 0.2500 0.2500 0.7500
Sn 0.0000 0.0000 0.5000

Calculated values
electronic total energy	-4.0503	eV per atom